Material: Ac5Hg2OsN
Method: DFT, PBE-GGA
State: relaxed

Lattice parameters (Å, degrees): 4.293 9.959 14.660 90.00 90.00 102.45
Element x y z (fractional)
Ac (0.351, 0.703, 0.004)
Ac (0.685, 0.370, 0.890)
Ac (0.497, 0.995, 0.789)
Ac (0.282, 0.563, 0.665)
Ac (0.950, 0.900, 0.518)
Ac (0.649, 0.297, 0.504)
Ac (0.315, 0.630, 0.390)
Ac (0.503, 0.005, 0.289)
Ac (0.718, 0.437, 0.165)
Ac (0.050, 0.100, 0.018)
Hg (0.865, 0.729, 0.822)
Hg (0.105, 0.210, 0.678)
Hg (0.135, 0.271, 0.322)
Hg (0.895, 0.790, 0.178)
Os (0.793, 0.586, 0.529)
Os (0.207, 0.414, 0.029)
N (0.556, 0.113, 0.928)
N (0.444, 0.887, 0.428)

=====

Material: Ac4Hg2PN2
Method: DFT, PBE-GGA
State: relaxed

Lattice parameters (Å, degrees): 4.271 8.046 8.762 110.39 104.11 90.00
Element x y z (fractional)
Ac (0.208, 0.150, 0.416)
Ac (0.792, 0.850, 0.584)
Ac (0.537, 0.772, 0.073)
Ac (0.463, 0.228, 0.927)
Hg (0.131, 0.523, 0.261)
Hg (0.869, 0.477, 0.739)
P (0.000, 0.000, 0.000)
N (0.676, 0.971, 0.352)
N (0.324, 0.029, 0.648)

=====

Material: Ac7HgPb2N2
Method: DFT, PBE-GGA
State: relaxed

Lattice parameters (Å, degrees): 5.309 5.309 14.458 79.50 79.50 90.03
Element x y z (fractional)
Ac (0.500, 0.500, 0.000)
Ac (0.306, 0.306, 0.391)
Ac (0.694, 0.694, 0.609)
Ac (0.906, 0.406, 0.188)
Ac (0.406, 0.906, 0.188)
Ac (0.594, 0.094, 0.812)
Ac (0.094, 0.594, 0.812)
Hg (0.000, 0.000, 0.000)
Pb (0.822, 0.822, 0.359)
Pb (0.178, 0.178, 0.641)
N (0.601, 0.601, 0.798)
N (0.399, 0.399, 0.202)

=====

Material: Ac4HgPbN
Method: DFT, PBE-GGA
State: relaxed

Lattice parameters (Å, degrees): 7.331 7.354 9.610 90.00 112.42 90.00
Element x y z (fractional)
Ac (0.934, 0.250, 0.869)
Ac (0.416, 0.750, 0.832)
Ac (0.066, 0.750, 0.131)
Ac (0.584, 0.250, 0.168)
Ac (0.500, 0.500, 0.500)
Ac (0.000, 0.000, 0.500)
Ac (0.500, 0.000, 0.500)
Ac (0.000, 0.500, 0.500)
Hg (0.117, 0.250, 0.234)
Hg (0.883, 0.750, 0.766)
Pb (0.611, 0.750, 0.222)
Pb (0.389, 0.250, 0.778)
N (0.274, 0.750, 0.548)
N (0.726, 0.250, 0.452)

=====

Material: Ac4HgPb2N2
Method: DFT, PBE-GGA
State: relaxed

Lattice parameters (Å, degrees): 4.046 8.526 9.361 111.02 102.48 90.00
Element x y z (fractional)
Ac (0.215, 0.152, 0.430)
Ac (0.785, 0.848, 0.570)
Ac (0.556, 0.749, 0.111)
Ac (0.444, 0.251, 0.889)
Hg (0.000, 0.000, 0.000)
Pb (0.129, 0.486, 0.258)
Pb (0.871, 0.514, 0.742)
N (0.678, 0.968, 0.355)
N (0.322, 0.032, 0.645)

=====

Material: Ac5Hg2PdN
Method: DFT, PBE-GGA
State: relaxed

Lattice parameters (Å, degrees): 4.298 10.075 14.527 90.00 90.00 102.31
Element x y z (fractional)
Ac (0.350, 0.700, 0.009)
Ac (0.673, 0.347, 0.880)
Ac (0.491, 0.982, 0.781)
Ac (0.286, 0.572, 0.674)
Ac (0.965, 0.930, 0.510)
Ac (0.650, 0.300, 0.509)
Ac (0.327, 0.653, 0.380)
Ac (0.509, 0.018, 0.281)
Ac (0.714, 0.428, 0.174)
Ac (0.035, 0.070, 0.010)
Hg (0.863, 0.725, 0.829)
Hg (0.110, 0.221, 0.686)
Hg (0.137, 0.275, 0.329)
Hg (0.890, 0.779, 0.186)
Pd (0.802, 0.605, 0.529)
Pd (0.198, 0.395, 0.029)
N (0.550, 0.100, 0.925)
N (0.450, 0.900, 0.425)

=====

Material: Ac4HgPdN
Method: DFT, PBE-GGA
State: relaxed

Lattice parameters (Å, degrees): 7.296 7.601 8.946 90.00 107.42 90.00
Element x y z (fractional)
Ac (0.997, 0.492, 0.729)
Ac (0.003, 0.992, 0.271)
Ac (0.003, 0.508, 0.271)
Ac (0.997, 0.008, 0.729)
Ac (0.433, 0.750, 0.137)
Ac (0.567, 0.250, 0.863)
Ac (0.436, 0.750, 0.579)
Ac (0.564, 0.250, 0.421)
Hg (0.766, 0.750, 0.938)
Hg (0.234, 0.250, 0.062)
Pd (0.783, 0.750, 0.451)
Pd (0.217, 0.250, 0.549)
N (0.233, 0.750, 0.308)
N (0.767, 0.250, 0.692)

=====

Material: AcPm2HgN
Method: DFT, PBE-GGA
State: relaxed

Lattice parameters (Å, degrees): 5.010 5.009 5.297 90.00 90.00 90.00
Element x y z (fractional)
Ac (0.000, 0.000, 0.500)
Pm (0.000, 0.500, 0.000)
Pm (0.500, 0.000, 0.000)
Hg (0.500, 0.500, 0.500)
N (0.000, 0.000, 0.000)

=====

What did we get for DOS at the Fermi energy? Answer: 0.708; 0.390; 0.652; 0.717; 0.587; 0.817; 0.878; 0.977 states/eV/atom, in the order shown.
What did we get for energy relative to the elements, uncorrected? Answer: -0.473; -0.951; -0.657; -0.612; -0.723; -0.627; -0.671; -0.707 eV per atom, in the order shown.